Density functional theory data (PBE) for Y2ScSb after structural relaxation.

The calculation puts the electronic total energy at -25.24 eV per cell. The formation energy without anion corrections is -0.46 eV per atom. For the density of states at the Fermi level, the calculation gives 5.2 states/eV/f.u.

Cell lengths 6.1019, 6.1019, 6.1019 Å; angles 136.35, 136.35, 63.45 degrees
Atoms (fractional coordinates):
Y: 0.0000 0.0000 0.0000
Y: 0.7500 0.2500 0.5000
Sc: 0.5000 0.5000 0.0000
Sb: 0.2500 0.7500 0.5000

Density functional theory data (PBE) for BaTlInBi after structural relaxation.

The calculation puts the electronic total energy at -12.52 eV per cell. For the energy above the lowest structure with this stoichiometry, the calculation gives 0 meV/atom. For the density of states at the Fermi level, the calculation gives 1.7 states/eV/f.u. The value obtained for the calculated formation energy is -402 meV/atom.

Cell lengths 5.0180, 5.1146, 5.3138 Å; angles 90.00, 90.00, 90.00 degrees
Atoms (fractional coordinates):
Ba: 0.0000 0.0000 0.0000
Tl: 0.5000 0.0000 0.5000
In: 0.0000 0.5000 0.5000
Bi: 0.5000 0.5000 0.0000